1.
First-principles (PBE) data for crystalline Li2PmMg3 at its relaxed geometry, as listed in Alexandria via LeMat-Bulk.

Electronic total energy: -26.8 eV for the cell shown
ΔH_f (0 K): 0.00 eV per atom
Total moment: 0.00 μB per formula unit

a b c (Å): 5.042 5.042 13.173
angles (deg): 90.00 90.00 120.00
Fractional coordinates of all 12 atoms:
Li 0.667 0.333 0.392
Li 0.333 0.667 0.608
Li 0.333 0.667 0.892
Li 0.667 0.333 0.108
Pm 0.000 0.000 0.250
Pm 0.000 0.000 0.750
Mg 0.000 0.000 0.500
Mg 0.000 0.000 0.000
Mg 0.667 0.333 0.620
Mg 0.333 0.667 0.120
Mg 0.667 0.333 0.880
Mg 0.333 0.667 0.380

---

2.
First-principles (PBE) data for crystalline TaP at its relaxed geometry, as listed in Alexandria via LeMat-Bulk.

Electronic total energy: -137.2 eV for the cell shown
ΔH_f (0 K): 0.05 eV per atom
Total moment: 0.00 μB per formula unit

a b c (Å): 7.713 7.713 7.713
angles (deg): 90.00 90.00 90.00
Fractional coordinates of all 16 atoms:
Ta 0.367 0.367 0.367
Ta 0.367 0.633 0.633
Ta 0.633 0.367 0.633
Ta 0.633 0.633 0.367
Ta 0.867 0.867 0.867
Ta 0.867 0.133 0.133
Ta 0.133 0.867 0.133
Ta 0.133 0.133 0.867
P 0.180 0.180 0.180
P 0.180 0.820 0.820
P 0.820 0.180 0.820
P 0.820 0.820 0.180
P 0.680 0.680 0.680
P 0.680 0.320 0.320
P 0.320 0.680 0.320
P 0.320 0.320 0.680

---

3.
First-principles (PBE) data for crystalline CaTm3Ni at its relaxed geometry, as listed in Alexandria via LeMat-Bulk.

Electronic total energy: -21.6 eV for the cell shown
ΔH_f (0 K): -0.08 eV per atom
Total moment: 0.00 μB per formula unit

a b c (Å): 5.302 5.302 5.302
angles (deg): 90.00 90.00 90.00
Fractional coordinates of all 5 atoms:
Ni 0.000 0.000 0.000
Ca 0.500 0.500 0.500
Tm 0.000 0.500 0.000
Tm 0.000 0.000 0.500
Tm 0.500 0.000 0.000

---

4.
First-principles (PBE) data for crystalline MgCu2Se3 at its relaxed geometry, as listed in Alexandria via LeMat-Bulk.

Electronic total energy: -44.5 eV for the cell shown
E_form (uncorrected): -337 meV/atom
Total moment: 0.00 μB per formula unit

a b c (Å): 3.729 3.729 18.465
angles (deg): 90.00 90.00 120.00
Fractional coordinates of all 12 atoms:
Mg 0.000 0.000 0.250
Mg 0.000 0.000 0.750
Cu 0.667 0.333 0.579
Cu 0.333 0.667 0.079
Cu 0.333 0.667 0.421
Cu 0.667 0.333 0.921
Se 0.667 0.333 0.156
Se 0.333 0.667 0.656
Se 0.333 0.667 0.844
Se 0.667 0.333 0.344
Se 0.000 0.000 0.000
Se 0.000 0.000 0.500

---

5.
First-principles (PBE) data for crystalline Ba2TiSe3O at its relaxed geometry, as listed in Alexandria via LeMat-Bulk.

Electronic total energy: -40.7 eV for the cell shown
E_form (uncorrected): -1930 meV/atom
Total moment: 0.00 μB per formula unit

a b c (Å): 4.020 5.220 9.115
angles (deg): 106.64 102.74 90.00
Fractional coordinates of all 7 atoms:
Ba 0.647 0.647 0.293
Ba 0.353 0.353 0.707
Ti 0.000 0.000 0.000
Se 0.000 0.500 0.000
Se 0.158 0.158 0.315
Se 0.842 0.842 0.685
O 0.500 0.000 0.000

---

6.
First-principles (PBE) data for crystalline Er2Cu3NiGe4 at its relaxed geometry, as listed in Alexandria via LeMat-Bulk.

Electronic total energy: -50.5 eV for the cell shown
ΔH_f (0 K): -0.49 eV per atom
Total moment: 0.00 μB per formula unit

a b c (Å): 4.064 4.064 10.137
angles (deg): 90.00 90.00 90.00
Fractional coordinates of all 10 atoms:
Er 0.500 0.000 0.260
Er 0.000 0.500 0.740
Cu 0.000 0.000 0.500
Cu 0.500 0.000 0.861
Cu 0.000 0.500 0.139
Ni 0.500 0.500 0.500
Ge 0.500 0.500 0.000
Ge 0.000 0.000 0.000
Ge 0.500 0.000 0.628
Ge 0.000 0.500 0.372

---

7.
First-principles (PBE) data for crystalline BaIF2 at its relaxed geometry, as listed in Alexandria via LeMat-Bulk.

Electronic total energy: -33.6 eV for the cell shown
E_form (uncorrected): -2398 meV/atom
Total moment: 1.00 μB per formula unit

a b c (Å): 6.847 6.847 8.040
angles (deg): 64.80 64.80 90.00
Each line ends with the local moment (μB).
Fractional coordinates of all 8 atoms:
I 0.500 0.500 0.000  0.59
I 0.250 0.750 0.500  0.58
Ba 0.000 0.000 0.000  0.00
Ba 0.750 0.250 0.500  0.00
F 0.761 0.125 0.250  0.03
F 0.989 0.625 0.250  0.03
F 0.375 0.239 0.750  0.03
F 0.875 0.011 0.750  0.03

---

8.
First-principles (PBE) data for crystalline Li2CaAcGe2 at its relaxed geometry, as listed in Alexandria via LeMat-Bulk.

Electronic total energy: -22.5 eV for the cell shown
ΔH_f (0 K): -0.56 eV per atom
Total moment: 0.00 μB per formula unit

a b c (Å): 4.630 4.630 7.697
angles (deg): 90.00 90.00 120.00
Fractional coordinates of all 6 atoms:
Li 0.333 0.667 0.691
Li 0.667 0.333 0.309
Ca 0.000 0.000 0.500
Ac 0.000 0.000 0.000
Ge 0.333 0.667 0.263
Ge 0.667 0.333 0.737

---

9.
First-principles (PBE) data for crystalline SmHoGa2Pt2 at its relaxed geometry, as listed in Alexandria via LeMat-Bulk.

Electronic total energy: -33.8 eV for the cell shown
ΔH_f (0 K): -1.06 eV per atom
Total moment: 0.00 μB per formula unit

a b c (Å): 4.476 4.476 7.053
angles (deg): 90.00 90.00 120.00
Fractional coordinates of all 6 atoms:
Sm 0.000 0.000 0.000
Ho 0.000 0.000 0.500
Ga 0.667 0.333 0.734
Ga 0.333 0.667 0.266
Pt 0.667 0.333 0.267
Pt 0.333 0.667 0.733

---

10.
First-principles (PBE) data for crystalline VBOs at its relaxed geometry, as listed in Alexandria via LeMat-Bulk.

Electronic total energy: -109.7 eV for the cell shown
ΔH_f (0 K): -0.13 eV per atom
Total moment: 0.00 μB per formula unit

a b c (Å): 3.584 4.986 7.841
angles (deg): 90.00 90.00 90.00
Fractional coordinates of all 12 atoms:
V 0.750 0.139 0.718
V 0.250 0.639 0.782
V 0.250 0.861 0.282
V 0.750 0.361 0.218
B 0.750 0.067 0.427
B 0.250 0.567 0.073
B 0.250 0.933 0.573
B 0.750 0.433 0.927
Os 0.750 0.678 0.524
Os 0.250 0.178 0.976
Os 0.250 0.322 0.476
Os 0.750 0.822 0.024

---

11.
First-principles (PBE) data for crystalline Mg2CoCuN at its relaxed geometry, as listed in Alexandria via LeMat-Bulk.

Electronic total energy: -22.0 eV for the cell shown
E_form (uncorrected): 136 meV/atom
Total moment: 1.12 μB per formula unit

a b c (Å): 4.223 3.825 4.223
angles (deg): 90.00 90.00 90.00
Each line ends with the local moment (μB).
Fractional coordinates of all 5 atoms:
Mg 0.000 0.000 0.500  -0.02
Mg 0.500 0.000 0.000  -0.01
Co 0.500 0.500 0.500  1.42
Cu 0.000 0.500 0.000  0.01
N 0.000 0.000 0.000  -0.01

---

12.
First-principles (PBE) data for crystalline VCd2Pt2 at its relaxed geometry, as listed in Alexandria via LeMat-Bulk.

Electronic total energy: -47.4 eV for the cell shown
ΔH_f (0 K): -0.14 eV per atom
Total moment: 2.08 μB per formula unit

a b c (Å): 6.620 6.620 4.265
angles (deg): 90.00 90.00 90.00
Each line ends with the local moment (μB).
Fractional coordinates of all 10 atoms:
Cd 0.167 0.667 0.500  -0.01
Cd 0.667 0.833 0.500  -0.01
Cd 0.833 0.333 0.500  -0.01
Cd 0.333 0.167 0.500  -0.01
Pt 0.359 0.859 0.000  0.01
Pt 0.859 0.641 0.000  0.01
Pt 0.641 0.141 0.000  0.01
Pt 0.141 0.359 0.000  0.01
V 0.000 0.000 0.000  1.80
V 0.500 0.500 0.000  1.80

---

13.
First-principles (PBE) data for crystalline CdNiBr2 at its relaxed geometry, as listed in Alexandria via LeMat-Bulk.

Electronic total energy: -9.4 eV for the cell shown
E_form (uncorrected): 169 meV/atom
Total moment: 0.72 μB per formula unit

a b c (Å): 3.802 6.660 3.968
angles (deg): 90.00 90.00 90.00
Each line ends with the local moment (μB).
Fractional coordinates of all 4 atoms:
Br 0.000 0.000 0.000  -0.01
Br 0.500 0.500 0.000  0.05
Cd 0.500 0.000 0.500  0.00
Ni 0.000 0.500 0.500  0.70

---

14.
First-principles (PBE) data for crystalline BaSbI2Br at its relaxed geometry, as listed in Alexandria via LeMat-Bulk.

Electronic total energy: -12.3 eV for the cell shown
E_form (uncorrected): -297 meV/atom
Total moment: 1.88 μB per formula unit

a b c (Å): 6.658 6.658 5.338
angles (deg): 90.00 90.00 90.00
Each line ends with the local moment (μB).
Fractional coordinates of all 5 atoms:
I 0.000 0.500 0.000  0.10
I 0.500 0.000 0.000  0.10
Sb 0.000 0.000 0.500  0.47
Ba 0.500 0.500 0.500  0.02
Br 0.000 0.000 0.000  0.17

---

15.
First-principles (PBE) data for crystalline Sm2TiGa4Pt3 at its relaxed geometry, as listed in Alexandria via LeMat-Bulk.

Electronic total energy: -56.2 eV for the cell shown
ΔH_f (0 K): -0.87 eV per atom
Total moment: 0.00 μB per formula unit

a b c (Å): 4.140 4.140 11.262
angles (deg): 90.00 90.00 90.00
Fractional coordinates of all 10 atoms:
Sm 0.500 0.000 0.249
Sm 0.000 0.500 0.751
Ti 0.500 0.500 0.500
Ga 0.500 0.500 0.000
Ga 0.000 0.000 0.000
Ga 0.500 0.000 0.644
Ga 0.000 0.500 0.356
Pt 0.000 0.000 0.500
Pt 0.500 0.000 0.866
Pt 0.000 0.500 0.134

---

16.
First-principles (PBE) data for crystalline TmMnFe2 at its relaxed geometry, as listed in Alexandria via LeMat-Bulk.

Electronic total energy: -112.8 eV for the cell shown
ΔH_f (0 K): 0.59 eV per atom
Total moment: 3.82 μB per formula unit

a b c (Å): 8.405 8.407 6.095
angles (deg): 90.00 90.00 42.53
Each line ends with the local moment (μB).
Fractional coordinates of all 16 atoms:
Tm 0.000 0.250 0.625  -0.17
Tm 0.500 0.750 0.125  -0.17
Tm 0.000 0.750 0.375  -0.17
Tm 0.500 0.250 0.875  -0.17
Mn 0.500 0.750 0.625  2.24
Mn 0.500 0.250 0.375  2.24
Mn 0.000 0.250 0.126  2.39
Mn 0.000 0.750 0.874  2.39
Fe 0.000 0.000 0.000  0.67
Fe 0.500 0.500 0.500  0.94
Fe 0.251 0.752 0.752  0.78
Fe 0.749 0.248 0.248  0.78
Fe 0.749 0.748 0.752  0.78
Fe 0.251 0.252 0.248  0.78
Fe 0.000 0.500 0.000  0.67
Fe 0.500 0.000 0.500  0.94

---

17.
First-principles (PBE) data for crystalline Tc2Sn2Te at its relaxed geometry, as listed in Alexandria via LeMat-Bulk.

Electronic total energy: -29.5 eV for the cell shown
E_form (uncorrected): 474 meV/atom
Total moment: 0.00 μB per formula unit

a b c (Å): 4.037 4.037 7.052
angles (deg): 73.37 73.37 90.00
Fractional coordinates of all 5 atoms:
Te 0.000 0.000 0.000
Sn 0.750 0.250 0.500
Sn 0.250 0.750 0.500
Tc 0.398 0.398 0.205
Tc 0.602 0.602 0.795

---

18.
First-principles (PBE) data for crystalline AgRu2Au at its relaxed geometry, as listed in Alexandria via LeMat-Bulk.

Electronic total energy: -22.6 eV for the cell shown
ΔH_f (0 K): 0.53 eV per atom
Total moment: 0.00 μB per formula unit

a b c (Å): 9.544 9.544 9.544
angles (deg): 16.77 16.77 16.77
Fractional coordinates of all 4 atoms:
Ag 0.250 0.250 0.250
Au 0.750 0.750 0.750
Ru 0.001 0.001 0.001
Ru 0.499 0.499 0.499

---

19.
First-principles (PBE) data for crystalline PrMg4Cu at its relaxed geometry, as listed in Alexandria via LeMat-Bulk.

Electronic total energy: -32.0 eV for the cell shown
ΔH_f (0 K): -0.13 eV per atom
Total moment: 0.00 μB per formula unit

a b c (Å): 4.336 7.474 8.572
angles (deg): 90.00 90.00 90.00
Fractional coordinates of all 12 atoms:
Pr 0.000 0.599 0.750
Pr 0.000 0.401 0.250
Mg 0.000 0.000 0.500
Mg 0.000 0.000 0.000
Mg 0.500 0.948 0.750
Mg 0.500 0.052 0.250
Mg 0.500 0.698 0.063
Mg 0.500 0.302 0.937
Mg 0.500 0.698 0.437
Mg 0.500 0.302 0.563
Cu 0.000 0.200 0.750
Cu 0.000 0.800 0.250

---

20.
First-principles (PBE) data for crystalline Hf3GaS at its relaxed geometry, as listed in Alexandria via LeMat-Bulk.

Electronic total energy: -38.3 eV for the cell shown
E_form (uncorrected): -249 meV/atom
Total moment: 0.00 μB per formula unit

a b c (Å): 4.728 4.728 4.728
angles (deg): 90.00 90.00 90.00
Fractional coordinates of all 5 atoms:
S 0.000 0.000 0.000
Hf 0.000 0.500 0.000
Hf 0.000 0.000 0.500
Hf 0.500 0.000 0.000
Ga 0.500 0.500 0.500